Record 1
Computed, not measured: Rb2InCuBr6 at its PBEsol-relaxed geometry at the SCAN level of DFT.

Its volume is 29.6 Å³/atom. The density of states at the Fermi level comes out at 8.08 states/eV per cell. For the formation energy without anion corrections, the calculation gives -116.7 kJ per mole of atoms.

The space group is Fm-3m (No. 225) and the conventional cell measures 10.5827, 10.5827 and 10.5827 Å, with angles of 90.00, 90.00 and 90.00 degrees. The distinct sites, in fractional coordinates, are Rb at (0.2500, 0.2500, 0.2500), In at (0.0000, 0.0000, 0.0000), Cu at (0.0000, 0.0000, 0.5000) and Br at (0.0000, 0.0000, 0.2563).

Record 2
Computed, not measured: In2CuTe3Br at its PBEsol-relaxed geometry at the SCAN level of DFT.

Its volume is 31.8 Å³/atom. For the formation energy without anion corrections, the calculation gives -34.7 kJ per mole of atoms.

The space group is P1 (No. 1) and the conventional cell measures 6.0380, 6.0733 and 7.3532 Å, with angles of 66.64, 65.99 and 89.26 degrees. The distinct sites, in fractional coordinates, are In at (0.0000, 0.0000, 0.0000), In at (0.2637, 0.7227, 0.4699), Cu at (0.5333, 0.4561, 0.0028), Te at (0.1318, 0.1562, 0.2551), Te at (0.6709, 0.5595, 0.2461), Te at (0.8526, 0.3508, 0.7131) and Br at (0.3878, 0.8303, 0.7554).

Record 3
Computed, not measured: K2CuBr3 at its PBEsol-relaxed geometry at the SCAN level of DFT.

Its volume is 28.9 Å³/atom. The density of states at the Fermi level comes out at 0.00 states/eV per cell. For the formation energy without anion corrections, the calculation gives -134.8 kJ per mole of atoms.

The space group is Pnma (No. 62) and the conventional cell measures 12.4971, 4.2387 and 13.0874 Å, with angles of 90.00, 90.00 and 90.00 degrees. The distinct sites, in fractional coordinates, are K at (0.0126, 0.2500, 0.1775), K at (0.1768, 0.2500, 0.5160), Cu at (0.2444, 0.7500, 0.3038), Br at (0.0591, 0.7500, 0.3617), Br at (0.1326, 0.2500, 0.9474) and Br at (0.2250, 0.7500, 0.7115).

Record 4
Computed, not measured: K2TlCuBr6 at its PBEsol-relaxed geometry at the SCAN level of DFT.

Its volume is 30.4 Å³/atom. The density of states at the Fermi level comes out at 11.97 states/eV per cell. For the formation energy without anion corrections, the calculation gives -100.6 kJ per mole of atoms.

The space group is Fm-3m (No. 225) and the conventional cell measures 10.6768, 10.6768 and 10.6768 Å, with angles of 90.00, 90.00 and 90.00 degrees. The distinct sites, in fractional coordinates, are K at (0.2500, 0.2500, 0.2500), Tl at (0.0000, 0.0000, 0.0000), Cu at (0.0000, 0.0000, 0.5000) and Br at (0.0000, 0.0000, 0.2633).

Record 5
Computed, not measured: KZr2CuBr at its PBEsol-relaxed geometry at the SCAN level of DFT.

Its volume is 27.3 Å³/atom. The density of states at the Fermi level comes out at 2.81 states/eV per cell. For the formation energy without anion corrections, the calculation gives 76.7 kJ per mole of atoms.

The space group is P4/mmm (No. 123) and the conventional cell measures 4.9535, 4.9535 and 5.5656 Å, with angles of 90.00, 90.00 and 90.00 degrees. The distinct sites, in fractional coordinates, are K at (0.0000, 0.0000, 0.0000), Zr at (0.0000, 0.5000, 0.5000), Cu at (0.5000, 0.5000, 0.0000) and Br at (0.0000, 0.0000, 0.5000).

Record 6
Computed, not measured: La2CuBr at its PBEsol-relaxed geometry at the SCAN level of DFT.

Its volume is 27.4 Å³/atom. The density of states at the Fermi level comes out at 9.15 states/eV per cell. For the formation energy without anion corrections, the calculation gives -79.0 kJ per mole of atoms.

The space group is R-3m (No. 166, hexagonal axes) and the conventional cell measures 4.2383, 4.2383 and 21.1700 Å, with angles of 90.00, 90.00 and 120.00 degrees. The distinct sites, in fractional coordinates, are La at (0.0000, 0.0000, 0.2448), Cu at (0.0000, 0.0000, 0.5000) and Br at (0.0000, 0.0000, 0.0000).

Record 7
Computed, not measured: La2CuBr at its PBEsol-relaxed geometry at the SCAN level of DFT.

Its volume is 26.8 Å³/atom. The density of states at the Fermi level comes out at 1.89 states/eV per cell. For the formation energy without anion corrections, the calculation gives -81.2 kJ per mole of atoms.

The space group is P4/mmm (No. 123) and the conventional cell measures 4.1980, 4.1980 and 6.0939 Å, with angles of 90.00, 90.00 and 90.00 degrees. The distinct sites, in fractional coordinates, are La at (0.0000, 0.0000, 0.0000), La at (0.5000, 0.5000, 0.5000), Cu at (0.0000, 0.0000, 0.5000) and Br at (0.5000, 0.5000, 0.0000).

Record 8
Computed, not measured: LiCuBr2 at its PBEsol-relaxed geometry at the SCAN level of DFT.

Its volume is 23.0 Å³/atom. The density of states at the Fermi level comes out at 0.00 states/eV per cell. For the formation energy without anion corrections, the calculation gives -94.8 kJ per mole of atoms.

The space group is I-42d (No. 122) and the conventional cell measures 5.6829, 5.6829 and 11.3748 Å, with angles of 90.00, 90.00 and 90.00 degrees. The distinct sites, in fractional coordinates, are Li at (0.0000, 0.0000, 0.0000), Cu at (0.0000, 0.0000, 0.5000) and Br at (0.2373, 0.2500, 0.6250).

Record 9
Computed, not measured: LiCuBr2 at its PBEsol-relaxed geometry at the SCAN level of DFT.

Its volume is 22.5 Å³/atom. The density of states at the Fermi level comes out at 0.60 states/eV per cell. For the formation energy without anion corrections, the calculation gives -75.0 kJ per mole of atoms.

The space group is Imm2 (No. 44) and the conventional cell measures 3.5734, 3.5752 and 14.1122 Å, with angles of 90.00, 90.00 and 90.00 degrees. The distinct sites, in fractional coordinates, are Li at (0.0000, 0.0000, 0.0000), Cu at (0.0000, 0.5000, 0.2469), Br at (0.0000, 0.0000, 0.4956) and Br at (0.0000, 0.5000, 0.7456).

Record 10
Computed, not measured: LiCuBr2 at its PBEsol-relaxed geometry at the SCAN level of DFT.

Its volume is 24.6 Å³/atom. The density of states at the Fermi level comes out at 0.00 states/eV per cell. For the formation energy without anion corrections, the calculation gives -87.2 kJ per mole of atoms.

The space group is R-3m (No. 166, hexagonal axes) and the conventional cell measures 3.9546, 3.9546 and 21.7657 Å, with angles of 90.00, 90.00 and 120.00 degrees. The distinct sites, in fractional coordinates, are Li at (0.0000, 0.0000, 0.0000), Cu at (0.0000, 0.0000, 0.5000) and Br at (0.0000, 0.0000, 0.3982).

Record 11
Computed, not measured: Li2CuBr at its PBEsol-relaxed geometry at the SCAN level of DFT.

Its volume is 16.3 Å³/atom. The density of states at the Fermi level comes out at 0.57 states/eV per cell. For the formation energy without anion corrections, the calculation gives -47.2 kJ per mole of atoms.

The space group is P2/m (No. 10) and the conventional cell measures 3.2653, 3.2643 and 6.1073 Å, with angles of 90.00, 90.09 and 90.00 degrees. The distinct sites, in fractional coordinates, are Li at (0.0003, 0.0000, 0.2436), Cu at (0.5000, 0.5000, 0.0000) and Br at (0.5000, 0.5000, 0.5000).

Record 12
Computed, not measured: Li2CuBr at its PBEsol-relaxed geometry at the SCAN level of DFT.

Its volume is 17.7 Å³/atom. The density of states at the Fermi level comes out at 1.62 states/eV per cell. For the formation energy without anion corrections, the calculation gives -2.1 kJ per mole of atoms.

The space group is F-43m (No. 216) and the conventional cell measures 6.5656, 6.5656 and 6.5656 Å, with angles of 90.00, 90.00 and 90.00 degrees. The distinct sites, in fractional coordinates, are Li at (0.0000, 0.0000, 0.0000), Li at (0.2500, 0.2500, 0.2500), Cu at (0.2500, 0.2500, 0.7500) and Br at (0.0000, 0.0000, 0.5000).